Computed, not measured: an optimized crystal structure of LaCoCl2 at the PBE level of DFT.

The structure in extended XYZ format:
```
4
Lattice="0.000 3.274 4.542 3.182 0.000 4.542 3.182 3.274 0.000" Properties=species:S:1:pos:R:3 pbc="T T T"
La 0.000 0.000 0.000
Co 3.182 3.274 4.542
Cl 3.182 1.637 2.271
Cl 0.000 1.637 2.271
```

Results
The volume comes out at 94.6 Å³/cell. Its formation energy without anion corrections is -0.71 eV per atom. For the offset from the most stable computed form, the calculation gives 405 meV/atom.

Computed, not measured: an optimized crystal structure of RbSc2Pb at the PBE level of DFT.

The structure in extended XYZ format:
```
4
Lattice="1.735 1.002 12.883 -1.735 1.002 12.883 0.000 -2.004 12.883" Properties=species:S:1:pos:R:3 pbc="T T T"
Rb 0.000 0.000 0.000
Sc 0.000 0.000 16.356
Sc 0.000 0.000 22.293
Pb 0.000 0.000 19.324
```

Results
The volume comes out at 134.4 Å³/cell. The value obtained for the energy of formation is 2.0 eV per formula unit.

Computed, not measured: an optimized crystal structure of RbHg3Ge at the PBE level of DFT.

The structure in extended XYZ format:
```
5
Lattice="5.583 0.000 0.000 0.000 5.583 0.000 0.000 0.000 5.583" Properties=species:S:1:pos:R:3 pbc="T T T"
Rb 0.000 0.000 0.000
Hg 0.000 2.792 2.792
Hg 2.792 0.000 2.792
Hg 2.792 2.792 0.000
Ge 2.792 2.792 2.792
```

Results
The volume comes out at 174.0 Å³/cell. The value obtained for the energy of formation is -0.3 eV per formula unit. For the offset from the most stable computed form, the calculation gives 0 meV/atom.

Computed, not measured: an optimized crystal structure of K3TiBi2Te6 at the PBE level of DFT.

The structure in extended XYZ format:
```
12
Lattice="3.891 -6.745 0.000 3.891 6.745 0.000 -2.611 0.000 8.161" Properties=species:S:1:pos:R:3 pbc="T T T"
K 0.000 0.000 0.000
K 3.891 2.376 0.000
K 3.891 -2.376 0.000
Ti 2.586 0.000 4.080
Bi 2.586 4.513 4.080
Bi 2.586 -4.513 4.080
Te 1.401 2.064 2.451
Te 0.215 0.000 5.731
Te 1.401 -2.064 2.451
Te 3.771 2.064 5.710
Te 4.957 0.000 2.429
Te 3.771 -2.064 5.710
```

Results
The volume comes out at 428.4 Å³/cell. Its formation energy without anion corrections is -0.68 eV per atom.

Computed, not measured: an optimized crystal structure of PrSmDyMg at the PBE level of DFT.

The structure in extended XYZ format:
```
4
Lattice="0.000 3.964 3.964 3.964 0.000 3.964 3.964 3.964 0.000" Properties=species:S:1:pos:R:3 pbc="T T T"
Pr 0.000 0.000 0.000
Sm 3.964 3.964 3.964
Dy 1.982 1.982 1.982
Mg 5.946 5.946 5.946
```

Results
The volume comes out at 124.6 Å³/cell. The value obtained for the energy of formation is 0.1 eV per formula unit. For the offset from the most stable computed form, the calculation gives 59 meV/atom.

Computed, not measured: an optimized crystal structure of Sr3Cd6Ag5 at the PBE level of DFT.

The structure in extended XYZ format:
```
28
Lattice="4.754 0.000 0.000 0.000 14.267 0.000 0.000 0.000 10.381" Properties=species:S:1:pos:R:3 pbc="T T T"
Sr 1.189 0.814 2.550
Sr 1.189 6.319 2.550
Sr 1.189 10.701 2.759
Sr 3.566 3.567 7.622
Sr 3.566 7.948 7.831
Sr 3.566 13.453 7.831
Cd 1.189 0.984 6.097
Cd 1.189 3.567 0.335
Cd 1.189 3.567 4.568
Cd 1.189 6.150 6.097
Cd 1.189 8.618 10.209
Cd 1.189 12.783 10.209
Cd 3.566 1.484 0.172
Cd 3.566 5.649 0.172
Cd 3.566 8.117 4.283
Cd 3.566 10.701 5.813
Cd 3.566 10.701 10.046
Cd 3.566 13.284 4.283
Ag 1.189 1.265 8.942
Ag 1.189 5.869 8.942
Ag 1.189 9.051 5.705
Ag 1.189 10.701 8.090
Ag 1.189 12.350 5.705
Ag 3.566 1.918 4.676
Ag 3.566 3.567 2.290
Ag 3.566 5.216 4.676
Ag 3.566 8.398 1.438
Ag 3.566 13.003 1.438
```

Results
The volume comes out at 704.1 Å³/cell. The value obtained for the energy of formation is -3.7 eV per formula unit.